DFT (PBE) results for crystalline Nd4Er5Tm2 at its relaxed geometry.

abc: 12.446 12.446 12.446
angles: 163.85 136.61 46.59
Atoms (fractional coordinates):
Nd1 0.096 0.096 0.000
Nd2 0.206 0.500 0.706
Nd3 0.794 0.500 0.294
Nd4 0.904 0.904 0.000
Er1 0.152 0.351 0.800
Er2 0.449 0.649 0.800
Er3 0.500 0.000 0.500
Er4 0.551 0.351 0.200
Er5 0.848 0.649 0.200
Tm1 0.230 0.230 0.000
Tm2 0.770 0.770 0.000

Properties
Excess energy over the best structure of this formula in the dataset ... 189 meV/atom
Fermi-level density of states ... 16.715 states/eV/cell
E_form ... 0.298 eV per atom
Space-group type ... No. 71